Computed, not measured: an optimized crystal structure of BaPu2WO8 at the PBE with a Hubbard U level of DFT.

Cell: 5.1648 5.1191 7.1295 Å, 89.99 90.00 88.42°
With the nearest neighbours (Å) after each atom.
Element x y z (fractional)
1 O 0.6417 0.6796 0.5000  2 Pu 2.18, 1 O 2.38
2 O 0.8147 0.1979 0.1918  1 W 1.94
3 W 0.0000 0.0000 0.0000  6 O 1.94-2.06
4 O 0.7166 0.7260 0.0000  1 W 2.06
5 O 0.1853 0.8021 0.8082  1 W 1.94
6 Pu 0.5000 0.5000 0.7557  6 O 2.18-2.39
7 Pu 0.5000 0.5000 0.2443  6 O 2.18-2.39
8 O 0.1852 0.8020 0.1918  1 W 1.94
9 Ba 0.0000 0.0000 0.5000  6 O 2.51-2.59
10 O 0.8148 0.1980 0.8082  1 W 1.94
11 O 0.3583 0.3204 0.5000  2 Pu 2.18, 1 O 2.38
12 O 0.2834 0.2740 0.0000  1 W 2.06

## Properties
final energy: -9.037 eV/atom